Computed, not measured: Re2NiTe after structural relaxation at the PBE level of DFT.

Unit cell a=3.8772 b=3.8772 c=4.1165 alpha=90.00 beta=90.00 gamma=90.00
With the nearest neighbours (Å) after each atom.
Fractional coordinates of all 4 atoms:
1 Re 0.0000 0.5000 0.0000  4 Re 2.74, 4 Te 2.83, 4 Ni 2.83
2 Re 0.5000 0.0000 0.0000  4 Re 2.74, 4 Te 2.83, 4 Ni 2.83
3 Ni 0.0000 0.0000 0.5000  4 Te 2.74, 8 Re 2.83
4 Te 0.5000 0.5000 0.5000  4 Ni 2.74, 8 Re 2.83

Values from the calculation:
E_form (uncorrected): 0.75 eV per atom
Space group: P4/mmm, No. 123
DFT total energy: -30.83 eV per cell
M_tot: 0.00 μB per formula unit